Record 1
The following is a DFT calculation (PBE) of a geometry-optimized NaPPd3 structure.

a b c (Å): 6.0487 6.0487 5.5766
angles (deg): 90.00 90.00 120.00
Closest atoms and distances in Å follow each position.
Fractional coordinates of all 10 atoms:
Na 0.3333 0.6667 0.2500  12 Pd 3.03-3.23
Na 0.6667 0.3333 0.7500  12 Pd 3.03-3.23
P 0.0000 0.0000 0.0000  6 Pd 2.33
P 0.0000 0.0000 0.5000  6 Pd 2.33
Pd 0.1780 0.3559 0.7500  2 P 2.33
Pd 0.1780 0.8220 0.7500  2 P 2.33
Pd 0.3559 0.1780 0.2500  2 P 2.33
Pd 0.6441 0.8220 0.7500  2 P 2.33
Pd 0.8220 0.1780 0.2500  2 P 2.33
Pd 0.8220 0.6441 0.2500  2 P 2.33

Calculated values
Calculated total energy (eV/atom): -4.7048
Symmetry: P6_3/mmc, No. 194
Crystal system: hexagonal
ΔE_f (meV/atom): -243

Record 2
The following is a DFT calculation (PBE) of a geometry-optimized HgSb2Pt structure.

a b c (Å): 7.2677 7.2677 7.2677
angles (deg): 32.46 32.46 32.46
Closest atoms and distances in Å follow each position.
Fractional coordinates of all 4 atoms:
Hg 0.0000 0.0000 0.0000  3 Pt 2.84, 3 Sb 2.91
Sb 0.2496 0.2496 0.2496  3 Hg 2.91
Sb 0.4718 0.4718 0.4718  3 Pt 2.66
Pt 0.7442 0.7442 0.7442  3 Sb 2.66, 3 Hg 2.84

Calculated values
Calculated total energy (eV/atom): -3.6546
Symmetry: R3m, No. 160
Raw formation energy (meV/atom): -7.8
Crystal system: trigonal

Record 3
The following is a DFT calculation (PBE) of a geometry-optimized CsKTlTe2 structure.

a b c (Å): 8.8961 8.8961 7.5410
angles (deg): 90.00 90.00 130.30
Closest atoms and distances in Å follow each position.
Fractional coordinates of all 10 atoms:
Cs 0.2500 0.7500 0.7638  8 Te 4.03-4.23, 2 Tl 4.41
Cs 0.7500 0.2500 0.2362  8 Te 4.03-4.23, 2 Tl 4.41
K 0.2500 0.2500 0.5000  4 Te 3.55, 2 K 3.74
K 0.7500 0.7500 0.5000  4 Te 3.55, 2 K 3.74
Tl 0.0000 0.0000 0.0000  2 Te 3.01
Tl 0.5000 0.5000 0.0000  2 Te 3.01
Te 0.1459 0.8541 0.2493  1 Tl 3.01, 1 Te 3.36
Te 0.3541 0.6459 0.2493  1 Tl 3.01, 1 Te 3.36
Te 0.6459 0.3541 0.7507  1 Tl 3.01, 1 Te 3.36
Te 0.8541 0.1459 0.7507  1 Tl 3.01, 1 Te 3.36

Calculated values
Calculated total energy (eV/atom): -2.7252
Symmetry: Cmme, No. 67
Raw formation energy (meV/atom): -605.1
Crystal system: orthorhombic

Record 4
The following is a DFT calculation (PBE) of a geometry-optimized Nd19Y6Ho4 structure.

a b c (Å): 11.0047 11.0047 11.0047
angles (deg): 109.47 109.47 109.47
Closest atoms and distances in Å follow each position.
Fractional coordinates of all 29 atoms:
Nd 0.0000 0.0000 0.0000  6 Nd 3.26
Nd 0.0000 0.2569 0.2569  3 Nd 3.26-3.39, 2 Ho 3.39, 2 Y 3.48
Nd 0.0000 0.7431 0.7431  3 Nd 3.26-3.39, 2 Ho 3.39, 2 Y 3.48
Nd 0.0244 0.2198 0.6799  1 Y 3.24, 1 Nd 3.39, 2 Ho 3.39-3.49
Nd 0.1954 0.9756 0.6555  1 Y 3.24, 1 Nd 3.39, 2 Ho 3.39-3.49
Nd 0.2198 0.6799 0.0244  1 Y 3.24, 1 Nd 3.39, 2 Ho 3.39-3.49
Nd 0.2569 0.0000 0.2569  3 Nd 3.26-3.39, 2 Ho 3.39, 2 Y 3.48
Nd 0.2569 0.2569 0.0000  3 Nd 3.26-3.39, 2 Ho 3.39, 2 Y 3.48
Nd 0.3201 0.5399 0.3445  1 Y 3.24, 1 Nd 3.39, 2 Ho 3.39-3.49
Nd 0.3445 0.3201 0.5399  1 Y 3.24, 1 Nd 3.39, 2 Ho 3.39-3.49
Nd 0.4601 0.7802 0.8046  1 Y 3.24, 1 Nd 3.39, 2 Ho 3.39-3.49
Nd 0.5399 0.3445 0.3201  1 Y 3.24, 1 Nd 3.39, 2 Ho 3.39-3.49
Nd 0.6555 0.1954 0.9756  1 Y 3.24, 1 Nd 3.39, 2 Ho 3.39-3.49
Nd 0.6799 0.0244 0.2198  1 Y 3.24, 1 Nd 3.39, 2 Ho 3.39-3.49
Nd 0.7431 0.0000 0.7431  3 Nd 3.26-3.39, 2 Ho 3.39, 2 Y 3.48
Nd 0.7431 0.7431 0.0000  3 Nd 3.26-3.39, 2 Ho 3.39, 2 Y 3.48
Nd 0.7802 0.8046 0.4601  1 Y 3.24, 1 Nd 3.39, 2 Ho 3.39-3.49
Nd 0.8046 0.4601 0.7802  1 Y 3.24, 1 Nd 3.39, 2 Ho 3.39-3.49
Nd 0.9756 0.6555 0.1954  1 Y 3.24, 1 Nd 3.39, 2 Ho 3.39-3.49
Y 0.1261 0.5000 0.6261  1 Y 3.20, 4 Nd 3.24-3.48
Y 0.3739 0.8739 0.5000  1 Y 3.20, 4 Nd 3.24-3.48
Y 0.5000 0.3739 0.8739  1 Y 3.20, 4 Nd 3.24-3.48
Y 0.5000 0.6261 0.1261  1 Y 3.20, 4 Nd 3.24-3.48
Y 0.6261 0.1261 0.5000  1 Y 3.20, 4 Nd 3.24-3.48
Y 0.8739 0.5000 0.3739  1 Y 3.20, 4 Nd 3.24-3.48
Ho 0.0000 0.0000 0.3617  9 Nd 3.39-3.49
Ho 0.0000 0.3617 0.0000  9 Nd 3.39-3.49
Ho 0.3617 0.0000 0.0000  9 Nd 3.39-3.49
Ho 0.6383 0.6383 0.6383  9 Nd 3.39-3.49

Calculated values
Calculated total energy (eV/atom): -4.7315
Symmetry: I23, No. 197
Crystal system: cubic
ΔE_f (meV/atom): 361

Record 5
The following is a DFT calculation (PBE) of a geometry-optimized Ce3Th3Sc structure.

a b c (Å): 8.2623 8.2623 8.2623
angles (deg): 62.34 62.34 62.34
Closest atoms and distances in Å follow each position.
Fractional coordinates of all 14 atoms:
Ce 0.0627 0.2845 0.7866  2 Ce 2.77
Ce 0.2134 0.9373 0.7155  2 Ce 2.77
Ce 0.2845 0.7866 0.0627  2 Ce 2.77
Ce 0.7155 0.2134 0.9373  2 Ce 2.77
Ce 0.7866 0.0627 0.2845  2 Ce 2.77
Ce 0.9373 0.7155 0.2134  2 Ce 2.77
Th 0.0597 0.7361 0.5723  5 Ce 3.30-3.64, 4 Th 3.49-3.67, 2 Sc 3.56-3.63
Th 0.2639 0.4277 0.9403  5 Ce 3.30-3.64, 4 Th 3.49-3.67, 2 Sc 3.56-3.63
Th 0.4277 0.9403 0.2639  5 Ce 3.30-3.64, 4 Th 3.49-3.67, 2 Sc 3.56-3.63
Th 0.5723 0.0597 0.7361  5 Ce 3.30-3.64, 4 Th 3.49-3.67, 2 Sc 3.56-3.63
Th 0.7361 0.5723 0.0597  5 Ce 3.30-3.64, 4 Th 3.49-3.67, 2 Sc 3.56-3.63
Th 0.9403 0.2639 0.4277  5 Ce 3.30-3.64, 4 Th 3.49-3.67, 2 Sc 3.56-3.63
Sc 0.3547 0.3547 0.3547  3 Ce 3.21, 3 Th 3.56
Sc 0.6453 0.6453 0.6453  3 Ce 3.21, 3 Th 3.56

Calculated values
Calculated total energy (eV/atom): -6.4050
Symmetry: R-3, No. 148
Crystal system: trigonal
ΔE_f (meV/atom): 223

Record 6
The following is a DFT calculation (PBE) of a geometry-optimized ZrTcW2 structure.

a b c (Å): 3.1992 3.1992 6.6816
angles (deg): 90.00 90.00 90.00
Closest atoms and distances in Å follow each position.
Fractional coordinates of all 4 atoms:
Zr 0.0000 0.0000 0.0000  8 W 2.89, 4 Zr 3.20
Tc 0.0000 0.0000 0.5000  8 W 2.74
W 0.5000 0.5000 0.2699  4 Tc 2.74, 4 Zr 2.89
W 0.5000 0.5000 0.7301  4 Tc 2.74, 4 Zr 2.89

Calculated values
Calculated total energy (eV/atom): -11.1294
Symmetry: P4/mmm, No. 123
Crystal system: tetragonal
ΔE_f (meV/atom): 76